1.
Below is an optimized crystal structure of SrZn3O, with properties calculated at the PBE-GGA level.

The value obtained for the polymorph energy (0 for the lowest one) is 1.172 eV per atom. Its density of states at the Fermi level is 4.94 states/eV/atom.

a = 6.2669 Å, b = 6.2669 Å, c = 6.2669 Å
α = 90.00°, β = 90.00°, γ = 90.00°
Positions (direct):
Sr  0.0000  0.0000  0.0000
Zn  0.0000  0.5000  0.0000
Zn  0.0000  0.0000  0.5000
Zn  0.5000  0.0000  0.0000
O  0.5000  0.5000  0.5000

2.
Below is an optimized crystal structure of MnPt2Se, with properties calculated at the PBE-GGA level.

Its density of states at the Fermi level is 0.83 states/eV/atom. The value obtained for the total energy is -24.9 eV per cell.

a = 3.7675 Å, b = 2.9281 Å, c = 6.1025 Å
α = 76.30°, β = 90.00°, γ = 90.00°
Last column: magnetic moment on the atom in μB.
Positions (direct):
Mn  0.5000  0.6804  0.7598  3.67
Pt  0.0000  0.0731  0.9783  0.14
Pt  0.5000  0.4479  0.2338  -0.03
Se  0.0000  0.2986  0.5280  -0.06

3.
Below is an optimized crystal structure of Cd2HgPt, with properties calculated at the PBE-GGA level.

Its density of states at the Fermi level is 0.52 states/eV/atom. The calculation puts the formation energy at 0.320 eV/atom.

a = 6.4376 Å, b = 6.4376 Å, c = 7.8021 Å
α = 65.63°, β = 65.63°, γ = 90.00°
Positions (direct):
Hg  0.0000  0.0000  0.0000
Hg  0.7500  0.2500  0.5000
Pt  0.5000  0.5000  0.0000
Pt  0.2500  0.7500  0.5000
Cd  0.5837  0.1250  0.2500
Cd  0.1663  0.6250  0.2500
Cd  0.3750  0.4163  0.7500
Cd  0.8750  0.8337  0.7500

4.
Below is an optimized crystal structure of La2Zn3HgPt4, with properties calculated at the PBE-GGA level.

Its density of states at the Fermi level is 0.50 states/eV/atom. The calculation puts the formation energy at -0.730 eV/atom.

a = 4.2166 Å, b = 4.2166 Å, c = 11.4717 Å
α = 90.00°, β = 90.00°, γ = 90.00°
Positions (direct):
La  0.5000  0.0000  0.2391
La  0.0000  0.5000  0.7609
Zn  0.0000  0.0000  0.5000
Zn  0.5000  0.0000  0.8761
Zn  0.0000  0.5000  0.1239
Hg  0.5000  0.5000  0.5000
Pt  0.5000  0.5000  0.0000
Pt  0.0000  0.0000  0.0000
Pt  0.5000  0.0000  0.6589
Pt  0.0000  0.5000  0.3411

5.
Below is an optimized crystal structure of LiLaTbZn, with properties calculated at the PBE-GGA level.

The value obtained for the polymorph energy (0 for the lowest one) is 0.016 eV per atom. Its density of states at the Fermi level is 1.53 states/eV/atom. The calculation puts the formation energy at -0.103 eV/atom.

a = 5.2604 Å, b = 5.2604 Å, c = 5.2604 Å
α = 60.00°, β = 60.00°, γ = 60.00°
Positions (direct):
Zn  0.0000  0.0000  0.0000
Li  0.5000  0.5000  0.5000
Tb  0.7500  0.7500  0.7500
La  0.2500  0.2500  0.2500

6.
Below is an optimized crystal structure of LiBe4Pt, with properties calculated at the PBE-GGA level.

Its density of states at the Fermi level is 0.51 states/eV/atom. The calculation puts the formation energy at -0.441 eV/atom.

a = 4.3239 Å, b = 4.3239 Å, c = 4.3239 Å
α = 60.00°, β = 60.00°, γ = 60.00°
Positions (direct):
Be  0.6253  0.1242  0.6253
Be  0.1242  0.6253  0.6253
Be  0.6253  0.6253  0.6253
Be  0.6253  0.6253  0.1242
Li  0.2500  0.2500  0.2500
Pt  0.0000  0.0000  0.0000

Here are the calculated total magnetization numbers, same order: 0.000, 3.850, 0.000, 0.000, 0.001, 0.000 (μB/f.u.).